# 1
Compound: MnWSe2
Source: the Alexandria database
Functional: PBE
Structure: relaxed

Cell and atoms, written as POSCAR:
```
MnWSe2
1.0
4.018 -1.640 0.000
4.018 1.640 0.000
-0.710 0.000 5.401
Mn W Se
1 1 2
Cartesian
0.000 0.000 0.000
3.663 0.000 2.701
1.238 0.000 3.920
6.088 0.000 1.481
```

Output
ΔE to the lowest computed polymorph, meV per atom: 393
Uncorrected formation energy, eV/atom: 0.21
Spin magnetization, Bohr magnetons per cell: 3.91

# 2
Compound: MnWSe2
Source: the Alexandria database
Functional: PBE
Structure: relaxed

Cell and atoms, written as POSCAR:
```
MnWSe2
1.0
3.169 0.000 0.000
0.000 3.169 0.000
0.000 0.000 6.410
Mn W Se
1 1 2
Cartesian
0.000 0.000 0.000
0.000 0.000 3.205
1.585 1.585 1.661
1.585 1.585 4.749
```

Output
ΔE to the lowest computed polymorph, meV per atom: 377
Uncorrected formation energy, eV/atom: 0.19
Spin magnetization, Bohr magnetons per cell: 3.63

# 3
Compound: MnWSe2
Source: the Alexandria database
Functional: PBE
Structure: relaxed

Cell and atoms, written as POSCAR:
```
MnWSe2
1.0
3.242 0.000 0.000
0.000 3.242 0.000
0.000 0.000 7.438
Mn W Se
1 1 2
Cartesian
0.000 0.000 0.000
1.621 1.621 5.860
0.000 0.000 4.483
1.621 1.621 1.043
```

Output
ΔE to the lowest computed polymorph, meV per atom: 114
Uncorrected formation energy, eV/atom: -0.07
Spin magnetization, Bohr magnetons per cell: 3.21

# 4
Compound: MnWSe2
Source: the Alexandria database
Functional: PBE
Structure: relaxed

Cell and atoms, written as POSCAR:
```
MnWSe2
1.0
0.000 3.218 3.218
3.218 0.000 3.218
3.218 3.218 0.000
Mn W Se
1 1 2
Cartesian
0.000 0.000 0.000
1.609 1.609 1.609
3.218 3.218 3.218
4.827 4.827 4.827
```

Output
ΔE to the lowest computed polymorph, meV per atom: 960
Uncorrected formation energy, eV/atom: 0.78
Spin magnetization, Bohr magnetons per cell: 2.54

# 5
Compound: Mn2WSe
Source: the Alexandria database
Functional: PBE
Structure: relaxed

Cell and atoms, written as POSCAR:
```
Mn2WSe
1.0
-1.598 2.111 4.124
1.598 -2.111 4.124
1.598 2.111 -4.124
Mn W Se
2 1 1
Cartesian
0.000 0.000 0.000
0.000 2.111 2.075
0.000 0.000 3.970
1.598 0.000 1.892
```

Output
Uncorrected formation energy, eV/atom: 0.35
Spin magnetization, Bohr magnetons per cell: 3.94

# 6
Compound: Mn2WSe
Source: the Alexandria database
Functional: PBE
Structure: relaxed

Cell and atoms, written as POSCAR:
```
Mn2WSe
1.0
4.277 -1.512 0.000
4.277 1.512 0.000
-0.523 0.000 4.486
Mn W Se
2 1 1
Cartesian
0.000 0.000 0.000
6.244 0.000 1.160
1.872 0.000 3.559
3.968 0.000 1.973
```

Output
Uncorrected formation energy, eV/atom: 0.32
Spin magnetization, Bohr magnetons per cell: 3.83

# 7
Compound: Mn2WSe
Source: the Alexandria database
Functional: PBE
Structure: relaxed

Cell and atoms, written as POSCAR:
```
Mn2WSe
1.0
1.639 -2.293 0.000
1.639 2.293 0.000
0.000 0.000 8.053
Mn W Se
2 1 1
Cartesian
0.000 0.000 2.016
0.000 0.000 6.037
1.639 0.000 0.000
1.639 0.000 4.026
```

Output
Uncorrected formation energy, eV/atom: 0.30
Spin magnetization, Bohr magnetons per cell: 5.58

# 8
Compound: MnWSe2
Source: the Alexandria database
Functional: PBE
Structure: relaxed

Cell and atoms, written as POSCAR:
```
MnWSe2
1.0
3.154 0.000 0.000
0.000 3.206 0.000
0.000 0.000 7.225
Mn W Se
1 1 2
Cartesian
0.000 0.000 0.000
0.000 1.603 3.612
1.577 1.603 1.622
1.577 1.603 5.603
```

Output
ΔE to the lowest computed polymorph, meV per atom: 542
Uncorrected formation energy, eV/atom: 0.36
Spin magnetization, Bohr magnetons per cell: 4.13

# 9
Compound: YMn4Se
Source: the Alexandria database
Functional: PBE
Structure: relaxed

Cell and atoms, written as POSCAR:
```
YMn4Se
1.0
0.000 3.616 3.616
3.616 0.000 3.616
3.616 3.616 0.000
Y Mn Se
1 4 1
Cartesian
0.000 0.000 0.000
4.528 2.704 2.704
2.704 4.528 2.704
2.704 2.704 4.528
4.528 4.528 4.528
1.808 1.808 1.808
```

Output
Uncorrected formation energy, eV/atom: 0.30
Spin magnetization, Bohr magnetons per cell: 9.25

# 10
Compound: YMn2Se
Source: the Alexandria database
Functional: PBE
Structure: relaxed

Cell and atoms, written as POSCAR:
```
YMn2Se
1.0
3.647 0.000 0.000
0.000 4.360 0.000
-1.061 0.000 5.094
Y Mn Se
1 2 1
Cartesian
0.000 0.000 0.000
0.707 2.180 3.762
1.879 2.180 1.332
1.293 0.000 2.547
```

Output
Uncorrected formation energy, eV/atom: -0.14
Spin magnetization, Bohr magnetons per cell: 7.00

# 11
Compound: YMn2Se
Source: the Alexandria database
Functional: PBE
Structure: relaxed

Cell and atoms, written as POSCAR:
```
YMn2Se
1.0
-2.171 2.171 8.484
2.171 -2.171 8.484
2.171 2.171 -8.484
Y Mn Se
2 4 2
Cartesian
0.000 0.000 0.000
0.000 2.171 4.242
1.085 -0.367 6.363
1.804 1.085 2.121
1.085 2.538 -2.121
0.367 1.085 10.605
2.171 0.000 4.242
0.000 0.000 8.484
```

Output
Uncorrected formation energy, eV/atom: 0.07
Spin magnetization, Bohr magnetons per cell: 8.97

# 12
Compound: YMn2Se
Source: the Alexandria database
Functional: PBE
Structure: relaxed

Cell and atoms, written as POSCAR:
```
YMn2Se
1.0
3.714 0.000 0.000
0.000 3.714 0.000
0.000 0.000 5.716
Y Mn Se
1 2 1
Cartesian
0.000 0.000 0.000
1.857 1.857 1.490
1.857 1.857 4.226
0.000 0.000 2.858
```

Output
Uncorrected formation energy, eV/atom: -0.04
Spin magnetization, Bohr magnetons per cell: 7.06

# 13
Compound: Y4MnSe
Source: the Alexandria database
Functional: PBE
Structure: relaxed

Cell and atoms, written as POSCAR:
```
Y4MnSe
1.0
0.000 4.458 4.458
4.458 0.000 4.458
4.458 4.458 0.000
Y Mn Se
4 1 1
Cartesian
1.104 1.104 1.104
3.355 3.355 1.104
3.355 1.104 3.355
1.104 3.355 3.355
6.687 6.687 6.687
4.458 4.458 4.458
```

Output
Uncorrected formation energy, eV/atom: 0.51
Spin magnetization, Bohr magnetons per cell: 4.17

# 14
Compound: YMn2Se
Source: the Alexandria database
Functional: PBE
Structure: relaxed

Cell and atoms, written as POSCAR:
```
YMn2Se
1.0
2.052 1.185 5.027
-2.052 1.185 5.027
0.000 -2.369 5.027
Y Mn Se
1 2 1
Cartesian
0.000 0.000 0.000
0.000 0.000 2.860
0.000 0.000 12.221
0.000 0.000 7.541
```

Output
Uncorrected formation energy, eV/atom: -0.03
Spin magnetization, Bohr magnetons per cell: 2.70

# 15
Compound: YMnSe3
Source: the Alexandria database
Functional: PBE
Structure: relaxed

Cell and atoms, written as POSCAR:
```
YMnSe3
1.0
5.424 0.000 0.000
0.000 5.424 0.000
0.000 0.000 5.424
Y Mn Se
1 1 3
Cartesian
0.000 0.000 0.000
2.712 2.712 2.712
0.000 0.000 2.712
0.000 2.712 0.000
2.712 0.000 0.000
```

Output
ΔE to the lowest computed polymorph, meV per atom: 550
Uncorrected formation energy, eV/atom: -0.14
Spin magnetization, Bohr magnetons per cell: 4.74

# 16
Compound: YMnSe3
Source: the Alexandria database
Functional: PBE
Structure: relaxed

Cell and atoms, written as POSCAR:
```
YMnSe3
1.0
4.871 0.000 0.000
0.000 4.871 0.000
0.000 0.000 4.871
Y Mn Se
1 1 3
Cartesian
0.000 0.000 0.000
2.435 2.435 2.435
0.000 2.435 2.435
2.435 0.000 2.435
2.435 2.435 0.000
```

Output
ΔE to the lowest computed polymorph, meV per atom: 0
Uncorrected formation energy, eV/atom: -0.69
Spin magnetization, Bohr magnetons per cell: 3.92

# 17
Compound: YMn4Se8
Source: the Alexandria database
Functional: PBE
Structure: relaxed

Cell and atoms, written as POSCAR:
```
YMn4Se8
1.0
3.708 2.141 6.691
-3.708 2.141 6.691
0.000 -4.282 6.691
Y Mn Se
1 4 8
Cartesian
0.000 0.000 0.000
-3.708 0.000 10.037
-1.854 1.070 3.346
1.854 1.070 3.346
0.000 0.000 10.037
-1.884 -1.087 11.473
0.000 0.000 4.700
0.000 -2.175 8.600
-1.884 1.087 8.600
1.884 -1.087 11.473
0.000 2.175 11.473
0.000 0.000 15.374
1.884 1.087 8.600
```

Output
Uncorrected formation energy, eV/atom: -0.67
Spin magnetization, Bohr magnetons per cell: 14.88

# 18
Compound: YMn2Se
Source: the Alexandria database
Functional: PBE
Structure: relaxed

Cell and atoms, written as POSCAR:
```
YMn2Se
1.0
3.994 0.000 0.000
0.000 3.994 0.000
0.000 0.000 4.867
Y Mn Se
1 2 1
Cartesian
0.000 0.000 0.000
0.000 1.997 2.434
1.997 0.000 2.434
1.997 1.997 0.000
```

Output
Uncorrected formation energy, eV/atom: -0.09
Spin magnetization, Bohr magnetons per cell: 7.15

# 19
Compound: YMn2Se
Source: the Alexandria database
Functional: PBE
Structure: relaxed

Cell and atoms, written as POSCAR:
```
YMn2Se
1.0
3.475 0.000 0.000
0.000 3.475 0.000
0.000 0.000 6.383
Y Mn Se
1 2 1
Cartesian
0.000 0.000 0.000
0.000 0.000 3.143
1.738 1.738 1.887
1.738 1.738 4.551
```

Output
Uncorrected formation energy, eV/atom: -0.17
Spin magnetization, Bohr magnetons per cell: 7.15

# 20
Compound: YMn3Se
Source: the Alexandria database
Functional: PBE
Structure: relaxed

Cell and atoms, written as POSCAR:
```
YMn3Se
1.0
4.599 0.000 0.000
0.000 4.599 0.000
0.000 0.000 4.599
Y Mn Se
1 3 1
Cartesian
0.000 0.000 0.000
0.000 2.300 2.300
2.300 0.000 2.300
2.300 2.300 0.000
2.300 2.300 2.300
```

Output
ΔE to the lowest computed polymorph, meV per atom: 0
Uncorrected formation energy, eV/atom: 0.22
Spin magnetization, Bohr magnetons per cell: 8.34

# 21
Compound: YMn2Se
Source: the Alexandria database
Functional: PBE
Structure: relaxed

Cell and atoms, written as POSCAR:
```
YMn2Se
1.0
0.000 3.378 3.378
3.378 0.000 3.378
3.378 3.378 0.000
Y Mn Se
1 2 1
Cartesian
0.000 0.000 0.000
1.689 1.689 1.689
3.378 3.378 3.378
5.067 5.067 5.067
```

Output
Uncorrected formation energy, eV/atom: 0.11
Spin magnetization, Bohr magnetons per cell: 7.08

# 22
Compound: YMn2Se
Source: the Alexandria database
Functional: PBE
Structure: relaxed

Cell and atoms, written as POSCAR:
```
YMn2Se
1.0
4.605 -1.722 0.000
4.605 1.722 0.000
-1.300 0.000 4.445
Y Mn Se
1 2 1
Cartesian
0.000 0.000 0.000
1.299 0.000 2.765
6.611 0.000 1.681
3.955 0.000 2.223
```

Output
Uncorrected formation energy, eV/atom: 0.02
Spin magnetization, Bohr magnetons per cell: 0.81

# 23
Compound: YMn2Se
Source: the Alexandria database
Functional: PBE
Structure: relaxed

Cell and atoms, written as POSCAR:
```
YMn2Se
1.0
1.971 1.138 5.169
-1.971 1.138 5.169
0.000 -2.276 5.169
Y Mn Se
1 2 1
Cartesian
0.000 0.000 0.000
0.000 0.000 7.493
0.000 0.000 12.311
0.000 0.000 3.298
```

Output
Uncorrected formation energy, eV/atom: -0.35
Spin magnetization, Bohr magnetons per cell: 0.71

# 24
Compound: YMn2Se
Source: the Alexandria database
Functional: PBE
Structure: relaxed

Cell and atoms, written as POSCAR:
```
YMn2Se
1.0
-1.883 2.255 4.442
1.883 -2.255 4.442
1.883 2.255 -4.442
Y Mn Se
1 2 1
Cartesian
0.000 0.000 0.000
1.883 0.000 2.393
0.000 0.000 4.920
0.000 2.255 2.149
```

Output
Uncorrected formation energy, eV/atom: -0.03
Spin magnetization, Bohr magnetons per cell: 6.71

# 25
Compound: Y3MnSe
Source: the Alexandria database
Functional: PBE
Structure: relaxed

Cell and atoms, written as POSCAR:
```
Y3MnSe
1.0
5.170 0.000 0.000
0.000 5.170 0.000
0.000 0.000 5.170
Y Mn Se
3 1 1
Cartesian
0.000 0.000 2.585
0.000 2.585 0.000
2.585 0.000 0.000
0.000 0.000 0.000
2.585 2.585 2.585
```

Output
ΔE to the lowest computed polymorph, meV per atom: 0
Uncorrected formation energy, eV/atom: -0.05
Spin magnetization, Bohr magnetons per cell: 1.53

# 26
Compound: YMn2Se
Source: the Alexandria database
Functional: PBE
Structure: relaxed

Cell and atoms, written as POSCAR:
```
YMn2Se
1.0
3.836 0.000 0.000
0.000 1.866 5.516
0.000 -1.866 5.516
Y Mn Se
1 2 1
Cartesian
0.000 0.000 0.000
0.000 0.000 2.843
1.918 0.000 7.600
1.918 0.000 4.518
```

Output
Uncorrected formation energy, eV/atom: -0.25
Spin magnetization, Bohr magnetons per cell: 7.15

# 27
Compound: YMn2Se
Source: the Alexandria database
Functional: PBE
Structure: relaxed

Cell and atoms, written as POSCAR:
```
YMn2Se
1.0
2.793 -5.573 0.000
2.793 5.573 0.000
-2.783 0.000 2.793
Y Mn Se
1 2 1
Cartesian
0.000 0.000 0.000
0.005 2.786 1.397
0.005 -2.786 1.397
2.793 0.000 0.000
```

Output
Uncorrected formation energy, eV/atom: -0.02
Spin magnetization, Bohr magnetons per cell: 8.08

# 28
Compound: YMn3Se
Source: the Alexandria database
Functional: PBE
Structure: relaxed

Cell and atoms, written as POSCAR:
```
YMn3Se
1.0
4.999 0.000 0.000
0.000 4.999 0.000
0.000 0.000 4.999
Y Mn Se
1 3 1
Cartesian
0.000 0.000 0.000
0.000 0.000 2.500
0.000 2.500 0.000
2.500 0.000 0.000
2.500 2.500 2.500
```

Output
ΔE to the lowest computed polymorph, meV per atom: 1355
Uncorrected formation energy, eV/atom: 1.58
Spin magnetization, Bohr magnetons per cell: 10.48

# 29
Compound: Yb2MnSe4
Source: the Alexandria database
Functional: PBE
Structure: relaxed

Cell and atoms, written as POSCAR:
```
Yb2MnSe4
1.0
0.000 5.736 5.736
5.736 0.000 5.736
5.736 5.736 0.000
Yb Mn Se
4 2 8
Cartesian
0.000 0.000 0.000
2.868 2.868 0.000
2.868 0.000 2.868
0.000 2.868 2.868
4.302 4.302 4.302
7.170 7.170 7.170
2.879 2.879 2.879
5.725 5.725 2.879
5.725 2.879 5.725
8.593 5.747 5.747
2.879 5.725 5.725
5.747 8.593 5.747
5.747 5.747 8.593
8.593 8.593 8.593
```

Output
Uncorrected formation energy, eV/atom: -1.20
Spin magnetization, Bohr magnetons per cell: 5.88